[1]
# BaAg2 (PBEsol, optimized geometry)
# **E_form**: -54 meV/atom
# **Calculated volume**: 27.37 Å³/atom
# **M_tot**: 0.001 μB/cell
# **Uncorrected energy**: -2.977 eV per atom
data_BaAg2
_chemical_formula_sum 'Ba4 Ag8'
_cell_length_a 5.576
_cell_length_b 5.576
_cell_length_c 10.564
_cell_angle_alpha 90.00
_cell_angle_beta 90.00
_cell_angle_gamma 90.00
_symmetry_space_group_name_H-M 'I 4/m c m'
_symmetry_Int_Tables_number 140
_symmetry_space_group_name_Hall '-I 4 2c'
loop_
_atom_site_label
_atom_site_type_symbol
_atom_site_fract_x
_atom_site_fract_y
_atom_site_fract_z
Ba1 Ba 0.000 0.000 0.250
Ag1 Ag 0.171 0.329 0.000

[2]
# Ba3Ag (PBEsol, optimized geometry)
# **E_form**: -27 meV/atom
# **Calculated volume**: 51.59 Å³/atom
# **M_tot**: 0.000 μB/cell
# **Uncorrected energy**: -2.467 eV per atom
data_Ba3Ag
_chemical_formula_sum 'Ba9 Ag3'
_cell_length_a 4.6234
_cell_length_b 4.6234
_cell_length_c 33.4406
_cell_angle_alpha 90.00
_cell_angle_beta 90.00
_cell_angle_gamma 120.00
_symmetry_space_group_name_H-M 'R -3 m'
_symmetry_Int_Tables_number 166
_symmetry_space_group_name_Hall '-R 3 2"'
loop_
_atom_site_label
_atom_site_type_symbol
_atom_site_fract_x
_atom_site_fract_y
_atom_site_fract_z
Ba1 Ba 0.0000 0.0000 0.0000
Ba2 Ba 0.0000 0.0000 0.2227
Ag1 Ag 0.0000 0.0000 0.5000

[3]
# Ba3Ag2 (PBEsol, optimized geometry)
# **E_form**: -73 meV/atom
# **Calculated volume**: 43.93 Å³/atom
# **M_tot**: 0.000 μB/cell
# **Uncorrected energy**: -2.687 eV per atom
data_Ba3Ag2
_chemical_formula_sum 'Ba9 Ag6'
_cell_length_a 4.6978
_cell_length_b 4.6978
_cell_length_c 34.4767
_cell_angle_alpha 90.00
_cell_angle_beta 90.00
_cell_angle_gamma 120.00
_symmetry_space_group_name_H-M 'R -3 m'
_symmetry_Int_Tables_number 166
_symmetry_space_group_name_Hall '-R 3 2"'
loop_
_atom_site_label
_atom_site_type_symbol
_atom_site_fract_x
_atom_site_fract_y
_atom_site_fract_z
Ba1 Ba 0.0000 0.0000 0.0000
Ba2 Ba 0.0000 0.0000 0.2221
Ag1 Ag 0.0000 0.0000 0.3910

[4]
# Ba3Ag (PBEsol, optimized geometry)
# **E_form**: -50 meV/atom
# **Calculated volume**: 44.28 Å³/atom
# **M_tot**: 0.000 μB/cell
# **Uncorrected energy**: -2.490 eV per atom
data_Ba3Ag
_chemical_formula_sum 'Ba6 Ag2'
_cell_length_a 4.191
_cell_length_b 6.346
_cell_length_c 13.320
_cell_angle_alpha 90.00
_cell_angle_beta 90.00
_cell_angle_gamma 90.00
_symmetry_space_group_name_H-M 'I m m m'
_symmetry_Int_Tables_number 71
_symmetry_space_group_name_Hall '-I 2 2'
loop_
_atom_site_label
_atom_site_type_symbol
_atom_site_fract_x
_atom_site_fract_y
_atom_site_fract_z
Ba1 Ba 0.000 0.000 0.000
Ba2 Ba 0.000 0.500 0.191
Ag1 Ag 0.000 0.000 0.500

[5]
# BaAg5 (PBEsol, optimized geometry)
# **E_form**: -32 meV/atom
# **Calculated volume**: 22.89 Å³/atom
# **M_tot**: 0.000 μB/cell
# **Uncorrected energy**: -3.149 eV per atom
data_BaAg5
_chemical_formula_sum 'Ba2 Ag10'
_cell_length_a 8.015
_cell_length_b 4.655
_cell_length_c 7.364
_cell_angle_alpha 90.00
_cell_angle_beta 90.18
_cell_angle_gamma 90.00
_symmetry_space_group_name_H-M 'C 1 2/m 1'
_symmetry_Int_Tables_number 12
loop_
_symmetry_equiv_pos_as_xyz
'x,y,z'
'-x,-y,-z'
'-x,y,-z'
'x,-y,z'
'x+1/2,y+1/2,z'
'-x+1/2,-y+1/2,-z'
'-x+1/2,y+1/2,-z'
'x+1/2,-y+1/2,z'
loop_
_atom_site_label
_atom_site_type_symbol
_atom_site_fract_x
_atom_site_fract_y
_atom_site_fract_z
Ba1 Ba 0.000 0.000 0.000
Ag1 Ag 0.000 0.000 0.500
Ag2 Ag 0.166 0.500 0.685
Ag3 Ag 0.168 0.500 0.314

[6]
# Ba3Ag2 (PBEsol, optimized geometry)
# **E_form**: -175 meV/atom
# **Calculated volume**: 42.28 Å³/atom
# **M_tot**: 0.001 μB/cell
# **Uncorrected energy**: -2.789 eV per atom
data_Ba3Ag2
_chemical_formula_sum 'Ba27 Ag18'
_cell_length_a 10.5995
_cell_length_b 10.5995
_cell_length_c 19.5565
_cell_angle_alpha 90.00
_cell_angle_beta 90.00
_cell_angle_gamma 120.00
_symmetry_space_group_name_H-M 'R -3'
_symmetry_Int_Tables_number 148
_symmetry_space_group_name_Hall '-R 3'
loop_
_atom_site_label
_atom_site_type_symbol
_atom_site_fract_x
_atom_site_fract_y
_atom_site_fract_z
Ba1 Ba 0.0000 0.0000 0.0000
Ba2 Ba 0.0000 0.0000 0.2062
Ba3 Ba 0.0206 0.2614 0.5939
Ag1 Ag 0.0276 0.5995 0.5625

[7]
# BaBeAg2 (PBEsol, optimized geometry)
# **E_form**: 203 meV/atom
# **Calculated volume**: 20.90 Å³/atom
# **M_tot**: 0.000 μB/cell
# **Uncorrected energy**: -2.990 eV per atom
data_BaBeAg2
_chemical_formula_sum 'Ba1 Be1 Ag2'
_cell_length_a 3.381
_cell_length_b 3.381
_cell_length_c 7.311
_cell_angle_alpha 90.00
_cell_angle_beta 90.00
_cell_angle_gamma 90.00
_symmetry_space_group_name_H-M 'P 4 m m'
_symmetry_Int_Tables_number 99
loop_
_symmetry_equiv_pos_as_xyz
'x,y,z'
'-y,x,z'
'-x,-y,z'
'y,-x,z'
'-x,y,z'
'y,x,z'
'x,-y,z'
'-y,-x,z'
loop_
_atom_site_label
_atom_site_type_symbol
_atom_site_fract_x
_atom_site_fract_y
_atom_site_fract_z
Ba1 Ba 0.000 0.000 0.000
Be1 Be 0.500 0.500 0.342
Ag1 Ag 0.000 0.000 0.453
Ag2 Ag 0.500 0.500 0.669

[8]
# BaBeAg2 (PBEsol, optimized geometry)
# **E_form**: 598 meV/atom
# **Calculated volume**: 23.68 Å³/atom
# **M_tot**: 0.001 μB/cell
# **Uncorrected energy**: -2.595 eV per atom
data_BaBeAg2
_chemical_formula_sum 'Ba2 Be2 Ag4'
_cell_length_a 5.776
_cell_length_b 8.777
_cell_length_c 4.482
_cell_angle_alpha 90.00
_cell_angle_beta 123.54
_cell_angle_gamma 90.00
_symmetry_space_group_name_H-M 'C 1 2/m 1'
_symmetry_Int_Tables_number 12
loop_
_symmetry_equiv_pos_as_xyz
'x,y,z'
'-x,-y,-z'
'-x,y,-z'
'x,-y,z'
'x+1/2,y+1/2,z'
'-x+1/2,-y+1/2,-z'
'-x+1/2,y+1/2,-z'
'x+1/2,-y+1/2,z'
loop_
_atom_site_label
_atom_site_type_symbol
_atom_site_fract_x
_atom_site_fract_y
_atom_site_fract_z
Ba1 Ba 0.000 0.000 0.000
Be1 Be 0.000 0.500 0.000
Ag1 Ag 0.250 0.250 0.500

[9]
# BaBe2Ag (PBEsol, optimized geometry)
# **E_form**: 897 meV/atom
# **Calculated volume**: 18.98 Å³/atom
# **M_tot**: 0.000 μB/cell
# **Uncorrected energy**: -2.468 eV per atom
data_BaBe2Ag
_chemical_formula_sum 'Ba2 Be4 Ag2'
_cell_length_a 7.093
_cell_length_b 7.096
_cell_length_c 3.017
_cell_angle_alpha 90.00
_cell_angle_beta 90.19
_cell_angle_gamma 90.00
_symmetry_space_group_name_H-M 'C 1 2/m 1'
_symmetry_Int_Tables_number 12
loop_
_symmetry_equiv_pos_as_xyz
'x,y,z'
'-x,-y,-z'
'-x,y,-z'
'x,-y,z'
'x+1/2,y+1/2,z'
'-x+1/2,-y+1/2,-z'
'-x+1/2,y+1/2,-z'
'x+1/2,-y+1/2,z'
loop_
_atom_site_label
_atom_site_type_symbol
_atom_site_fract_x
_atom_site_fract_y
_atom_site_fract_z
Ba1 Ba 0.000 0.000 0.000
Be1 Be 0.250 0.250 0.500
Ag1 Ag 0.000 0.500 0.000

[10]
# BaHfBeAg2 (PBEsol, optimized geometry)
# **E_form**: 815 meV/atom
# **Calculated volume**: 21.66 Å³/atom
# **M_tot**: 0.003 μB/cell
# **Uncorrected energy**: -3.840 eV per atom
data_BaHfBeAg2
_chemical_formula_sum 'Ba1 Hf1 Be1 Ag2'
_cell_length_a 4.545
_cell_length_b 4.545
_cell_length_c 5.241
_cell_angle_alpha 90.00
_cell_angle_beta 90.00
_cell_angle_gamma 90.00
_symmetry_space_group_name_H-M 'P 4/m m m'
_symmetry_Int_Tables_number 123
_symmetry_space_group_name_Hall '-P 4 2'
loop_
_atom_site_label
_atom_site_type_symbol
_atom_site_fract_x
_atom_site_fract_y
_atom_site_fract_z
Ba1 Ba 0.000 0.000 0.000
Hf1 Hf 0.500 0.500 0.000
Be1 Be 0.000 0.000 0.500
Ag1 Ag 0.000 0.500 0.500

[11]
# Ba2AgHgBi (PBEsol, optimized geometry)
# **E_form**: -183 meV/atom
# **Calculated volume**: 39.77 Å³/atom
# **M_tot**: 0.000 μB/cell
# **Uncorrected energy**: -2.675 eV per atom
data_Ba2AgHgBi
_chemical_formula_sum 'Ba2 Ag1 Hg1 Bi1'
_cell_length_a 6.252
_cell_length_b 6.252
_cell_length_c 5.088
_cell_angle_alpha 90.00
_cell_angle_beta 90.00
_cell_angle_gamma 90.00
_symmetry_space_group_name_H-M 'P 4/m m m'
_symmetry_Int_Tables_number 123
_symmetry_space_group_name_Hall '-P 4 2'
loop_
_atom_site_label
_atom_site_type_symbol
_atom_site_fract_x
_atom_site_fract_y
_atom_site_fract_z
Ba1 Ba 0.000 0.500 0.000
Ag1 Ag 0.000 0.000 0.500
Hg1 Hg 0.000 0.000 0.000
Bi1 Bi 0.500 0.500 0.500

[12]
# BaTc2AgBi (PBEsol, optimized geometry)
# **E_form**: 2347 meV/atom
# **Calculated volume**: 27.18 Å³/atom
# **M_tot**: 2.923 μB/cell
# **Uncorrected energy**: -4.109 eV per atom
data_BaTc2AgBi
_chemical_formula_sum 'Ba1 Tc2 Ag1 Bi1'
_cell_length_a 4.993
_cell_length_b 4.993
_cell_length_c 5.451
_cell_angle_alpha 90.00
_cell_angle_beta 90.00
_cell_angle_gamma 90.00
_symmetry_space_group_name_H-M 'P 4/m m m'
_symmetry_Int_Tables_number 123
_symmetry_space_group_name_Hall '-P 4 2'
loop_
_atom_site_label
_atom_site_type_symbol
_atom_site_fract_x
_atom_site_fract_y
_atom_site_fract_z
Ba1 Ba 0.000 0.000 0.000
Tc1 Tc 0.000 0.500 0.000
Ag1 Ag 0.000 0.000 0.500
Bi1 Bi 0.500 0.500 0.500

[13]
# Ba2AgBr (PBEsol, optimized geometry)
# **Calculated volume**: 37.38 Å³/atom
# **M_tot**: 1.115 μB/cell
# **Uncorrected energy**: -3.220 eV per atom
data_Ba2AgBr
_chemical_formula_sum 'Ba2 Ag1 Br1'
_cell_length_a 4.703
_cell_length_b 4.703
_cell_length_c 6.761
_cell_angle_alpha 90.00
_cell_angle_beta 90.00
_cell_angle_gamma 90.00
_symmetry_space_group_name_H-M 'P 4/m m m'
_symmetry_Int_Tables_number 123
_symmetry_space_group_name_Hall '-P 4 2'
loop_
_atom_site_label
_atom_site_type_symbol
_atom_site_fract_x
_atom_site_fract_y
_atom_site_fract_z
Ba1 Ba 0.000 0.000 0.000
Ba2 Ba 0.500 0.500 0.500
Ag1 Ag 0.000 0.000 0.500
Br1 Br 0.500 0.500 0.000

[14]
# BaAgBr (PBEsol, optimized geometry)
# **Calculated volume**: 36.13 Å³/atom
# **M_tot**: 0.000 μB/cell
# **Uncorrected energy**: -3.209 eV per atom
data_BaAgBr
_chemical_formula_sum 'Ba1 Ag1 Br1'
_cell_length_a 4.9267
_cell_length_b 4.9267
_cell_length_c 5.1569
_cell_angle_alpha 90.00
_cell_angle_beta 90.00
_cell_angle_gamma 120.00
_symmetry_space_group_name_H-M 'P 3 m 1'
_symmetry_Int_Tables_number 156
loop_
_symmetry_equiv_pos_as_xyz
'x,y,z'
'-y,x-y,z'
'-x+y,-x,z'
'-y,-x,z'
'-x+y,y,z'
'x,x-y,z'
loop_
_atom_site_label
_atom_site_type_symbol
_atom_site_fract_x
_atom_site_fract_y
_atom_site_fract_z
Ba1 Ba 0.0000 0.0000 0.0000
Ag1 Ag 0.6667 0.3333 0.3472
Br1 Br 0.3333 0.6667 0.6999

[15]
# BaAgBr4 (PBEsol, optimized geometry)
# **Calculated volume**: 29.89 Å³/atom
# **M_tot**: 7.065 μB/cell
# **Uncorrected energy**: -2.492 eV per atom
data_BaAgBr4
_chemical_formula_sum 'Ba4 Ag4 Br16'
_cell_length_a 8.952
_cell_length_b 8.952
_cell_length_c 8.952
_cell_angle_alpha 90.00
_cell_angle_beta 90.00
_cell_angle_gamma 90.00
_symmetry_space_group_name_H-M 'F -4 3 m'
_symmetry_Int_Tables_number 216
_symmetry_space_group_name_Hall 'F -4 2 3'
loop_
_atom_site_label
_atom_site_type_symbol
_atom_site_fract_x
_atom_site_fract_y
_atom_site_fract_z
Ba1 Ba 0.000 0.000 0.000
Ag1 Ag 0.250 0.250 0.250
Br1 Br 0.124 0.124 0.624

[16]
# BaAgBr (PBEsol, optimized geometry)
# **Calculated volume**: 35.18 Å³/atom
# **M_tot**: 0.001 μB/cell
# **Uncorrected energy**: -3.092 eV per atom
data_BaAgBr
_chemical_formula_sum 'Ba4 Ag4 Br4'
_cell_length_a 7.502
_cell_length_b 7.502
_cell_length_c 7.502
_cell_angle_alpha 90.00
_cell_angle_beta 90.00
_cell_angle_gamma 90.00
_symmetry_space_group_name_H-M 'F -4 3 m'
_symmetry_Int_Tables_number 216
_symmetry_space_group_name_Hall 'F -4 2 3'
loop_
_atom_site_label
_atom_site_type_symbol
_atom_site_fract_x
_atom_site_fract_y
_atom_site_fract_z
Ba1 Ba 0.000 0.000 0.000
Ag1 Ag 0.250 0.250 0.250
Br1 Br 0.000 0.000 0.500

[17]
# Ba2AgBr (PBEsol, optimized geometry)
# **Calculated volume**: 38.39 Å³/atom
# **M_tot**: 0.000 μB/cell
# **Uncorrected energy**: -3.247 eV per atom
data_Ba2AgBr
_chemical_formula_sum 'Ba6 Ag3 Br3'
_cell_length_a 4.5952
_cell_length_b 4.5952
_cell_length_c 25.1907
_cell_angle_alpha 90.00
_cell_angle_beta 90.00
_cell_angle_gamma 120.00
_symmetry_space_group_name_H-M 'R -3 m'
_symmetry_Int_Tables_number 166
_symmetry_space_group_name_Hall '-R 3 2"'
loop_
_atom_site_label
_atom_site_type_symbol
_atom_site_fract_x
_atom_site_fract_y
_atom_site_fract_z
Ba1 Ba 0.0000 0.0000 0.2430
Ag1 Ag 0.0000 0.0000 0.5000
Br1 Br 0.0000 0.0000 0.0000

[18]
# BaAg2Br (PBEsol, optimized geometry)
# **Calculated volume**: 27.80 Å³/atom
# **M_tot**: 0.000 μB/cell
# **Uncorrected energy**: -3.127 eV per atom
data_BaAg2Br
_chemical_formula_sum 'Ba1 Ag2 Br1'
_cell_length_a 4.278
_cell_length_b 4.436
_cell_length_c 5.860
_cell_angle_alpha 90.00
_cell_angle_beta 90.00
_cell_angle_gamma 90.00
_symmetry_space_group_name_H-M 'P m m m'
_symmetry_Int_Tables_number 47
loop_
_symmetry_equiv_pos_as_xyz
'x,y,z'
'-x,-y,-z'
'-x,-y,z'
'x,y,-z'
'x,-y,-z'
'-x,y,z'
'-x,y,-z'
'x,-y,z'
loop_
_atom_site_label
_atom_site_type_symbol
_atom_site_fract_x
_atom_site_fract_y
_atom_site_fract_z
Ba1 Ba 0.000 0.000 0.000
Ag1 Ag 0.000 0.500 0.500
Ag2 Ag 0.500 0.000 0.500
Br1 Br 0.500 0.500 0.000

[19]
# BaAg2Br (PBEsol, optimized geometry)
# **Calculated volume**: 27.85 Å³/atom
# **M_tot**: 0.000 μB/cell
# **Uncorrected energy**: -3.127 eV per atom
data_BaAg2Br
_chemical_formula_sum 'Ba2 Ag4 Br2'
_cell_length_a 4.353
_cell_length_b 4.353
_cell_length_c 11.756
_cell_angle_alpha 90.00
_cell_angle_beta 90.00
_cell_angle_gamma 90.00
_symmetry_space_group_name_H-M 'I 4/m m m'
_symmetry_Int_Tables_number 139
_symmetry_space_group_name_Hall '-I 4 2'
loop_
_atom_site_label
_atom_site_type_symbol
_atom_site_fract_x
_atom_site_fract_y
_atom_site_fract_z
Ba1 Ba 0.000 0.000 0.000
Ag1 Ag 0.000 0.500 0.250
Br1 Br 0.000 0.000 0.500

[20]
# BaMg2AgBr (PBEsol, optimized geometry)
# **Calculated volume**: 34.01 Å³/atom
# **M_tot**: 0.000 μB/cell
# **Uncorrected energy**: -2.061 eV per atom
data_BaMg2AgBr
_chemical_formula_sum 'Ba1 Mg2 Ag1 Br1'
_cell_length_a 5.285
_cell_length_b 5.285
_cell_length_c 6.087
_cell_angle_alpha 90.00
_cell_angle_beta 90.00
_cell_angle_gamma 90.00
_symmetry_space_group_name_H-M 'P 4/m m m'
_symmetry_Int_Tables_number 123
_symmetry_space_group_name_Hall '-P 4 2'
loop_
_atom_site_label
_atom_site_type_symbol
_atom_site_fract_x
_atom_site_fract_y
_atom_site_fract_z
Ba1 Ba 0.000 0.000 0.000
Mg1 Mg 0.000 0.500 0.500
Ag1 Ag 0.500 0.500 0.000
Br1 Br 0.000 0.000 0.500